(1)
Tb3Ho8Er3 | GGA-PBE | optimized geometry

Properties
DFT formation energy: 2.6 kcal/mol of atoms
DFT total energy: -4.47 eV/atom
Relative energy among the computed polymorphs: 0.00 eV/f.u.
Space-group type: No. 71
Total moment: 0.0 Bohr magnetons per cell

a b c (Å): 9.5324 9.5324 9.5324
angles (deg): 146.05 111.81 78.40
Closest atoms and distances in Å follow each position.
Element x y z (fractional)
Tb 0.0000 0.0000 0.0000  4 Er 3.53, 4 Tb 3.86
Tb 0.1810 0.6810 0.5000  2 Er 3.45, 8 Ho 3.56-3.70, 2 Tb 3.86
Tb 0.8190 0.3190 0.5000  2 Er 3.45, 8 Ho 3.56-3.70, 2 Tb 3.86
Ho 0.1192 0.2781 0.8411  6 Ho 3.23-3.50, 2 Tb 3.56, 1 Er 3.59
Ho 0.2381 0.8965 0.3416  5 Ho 3.06-3.39
Ho 0.4369 0.2781 0.1589  6 Ho 3.23-3.50, 2 Tb 3.56, 1 Er 3.59
Ho 0.4451 0.1035 0.3416  5 Ho 3.06-3.39
Ho 0.5549 0.8965 0.6584  5 Ho 3.06-3.39
Ho 0.5631 0.7219 0.8411  6 Ho 3.23-3.50, 2 Tb 3.56, 1 Er 3.59
Ho 0.7619 0.1035 0.6584  5 Ho 3.06-3.39
Ho 0.8808 0.7219 0.1589  6 Ho 3.23-3.50, 2 Tb 3.56, 1 Er 3.59
Er 0.2034 0.5000 0.7034  1 Er 3.17, 4 Tb 3.45-3.53, 4 Ho 3.50
Er 0.5000 0.5000 0.0000  2 Er 3.17
Er 0.7966 0.5000 0.2966  1 Er 3.17, 4 Tb 3.45-3.53, 4 Ho 3.50

(2)
CsSi2AgBi | GGA-PBE | optimized geometry

Properties
DFT total energy: -2.88 eV/atom
Space-group type: No. 123
Formation energy from raw total energies: 0.8098 eV per atom
Total moment: 0.0 Bohr magnetons per cell

a b c (Å): 5.6728 5.6728 5.5893
angles (deg): 90.00 90.00 90.00
Closest atoms and distances in Å follow each position.
Element x y z (fractional)
Cs 0.0000 0.0000 0.0000  8 Si 3.98, 4 Ag 4.01
Si 0.0000 0.5000 0.5000  2 Bi 2.84
Si 0.5000 0.0000 0.5000  2 Bi 2.84
Ag 0.5000 0.5000 0.0000  2 Bi 2.79
Bi 0.5000 0.5000 0.5000  2 Ag 2.79, 4 Si 2.84

(3)
La7Mg2Hg2 | GGA-PBE | optimized geometry

Properties
DFT formation energy: 0.2 kcal/mol of atoms
DFT total energy: -3.47 eV/atom
Space-group type: No. 12
Total moment: 0.0 Bohr magnetons per cell

a b c (Å): 7.1753 7.1753 7.9404
angles (deg): 90.10 90.10 70.08
Closest atoms and distances in Å follow each position.
Element x y z (fractional)
La 0.0000 0.0000 0.0000  2 Hg 3.32
La 0.0003 0.4991 0.3015  1 La 3.15, 2 Hg 3.18, 2 Mg 3.40-3.41
La 0.9997 0.5009 0.6985  1 La 3.15, 2 Hg 3.18, 2 Mg 3.40-3.41
La 0.4991 0.0003 0.3015  1 La 3.15, 2 Hg 3.18, 2 Mg 3.40-3.41
La 0.5005 0.5005 0.2602  2 Hg 3.28-3.29, 2 Mg 3.35, 4 La 3.60-3.61
La 0.4995 0.4995 0.7398  2 Hg 3.28-3.29, 2 Mg 3.35, 4 La 3.60-3.61
La 0.5009 0.9997 0.6985  1 La 3.15, 2 Hg 3.18, 2 Mg 3.40-3.41
Mg 0.1656 0.8344 0.5000  1 Mg 2.73
Mg 0.8344 0.1656 0.5000  1 Mg 2.73
Hg 0.2824 0.2824 0.9997  7 La 3.18-3.32
Hg 0.7176 0.7176 0.0003  7 La 3.18-3.32

(4)
Sr3TbPr2Te6 | GGA-PBE | optimized geometry

Properties
DFT total energy: -4.72 eV/atom
Space-group type: No. 12
Formation energy from raw total energies: -1.5424 eV per atom
Total moment: 0.0 Bohr magnetons per cell

a b c (Å): 7.8872 7.8872 8.0802
angles (deg): 99.39 99.39 119.93
Closest atoms and distances in Å follow each position.
Element x y z (fractional)
Sr 0.0000 0.0000 0.0000  6 Te 3.28-3.35
Sr 0.3301 0.6699 0.0000  6 Te 3.28-3.32
Sr 0.6699 0.3301 0.0000  6 Te 3.28-3.32
Tb 0.5000 0.5000 0.5000  6 Te 3.15-3.16
Pr 0.1654 0.8346 0.5000  6 Te 3.23
Pr 0.8346 0.1654 0.5000  6 Te 3.23
Te 0.0954 0.4210 0.2616  1 Tb 3.15, 2 Pr 3.23, 3 Sr 3.28-3.32
Te 0.2557 0.2557 0.7412  1 Tb 3.16, 2 Pr 3.23, 3 Sr 3.29-3.35
Te 0.4210 0.0954 0.2616  1 Tb 3.15, 2 Pr 3.23, 3 Sr 3.28-3.32
Te 0.5790 0.9046 0.7384  1 Tb 3.15, 2 Pr 3.23, 3 Sr 3.28-3.32
Te 0.7443 0.7443 0.2588  1 Tb 3.16, 2 Pr 3.23, 3 Sr 3.29-3.35
Te 0.9046 0.5790 0.7384  1 Tb 3.15, 2 Pr 3.23, 3 Sr 3.28-3.32

(5)
LiInTe2Pd | GGA-PBE | optimized geometry

Properties
DFT total energy: -3.00 eV/atom
Space-group type: No. 123
Formation energy from raw total energies: 0.2291 eV per atom
Total moment: 0.0 Bohr magnetons per cell

a b c (Å): 5.0570 5.0570 4.8516
angles (deg): 90.00 90.00 90.00
Closest atoms and distances in Å follow each position.
Element x y z (fractional)
Li 0.0000 0.0000 0.0000  2 In 2.43, 4 Te 2.53
In 0.0000 0.0000 0.5000  2 Li 2.43
Te 0.0000 0.5000 0.0000  2 Li 2.53
Te 0.5000 0.0000 0.0000  2 Li 2.53
Pd 0.5000 0.5000 0.5000  8 Te 3.50, 4 In 3.58

(6)
BaAl3Cd | GGA-PBE | optimized geometry

Properties
DFT formation energy: 7.5 kcal/mol of atoms
DFT total energy: -2.49 eV/atom
Space-group type: No. 221
Total moment: 0.0 Bohr magnetons per cell

a b c (Å): 5.2748 5.2748 5.2748
angles (deg): 90.00 90.00 90.00
Closest atoms and distances in Å follow each position.
Element x y z (fractional)
Ba 0.0000 0.0000 0.0000  12 Al 3.73
Al 0.0000 0.5000 0.5000  2 Cd 2.64
Al 0.5000 0.0000 0.5000  2 Cd 2.64
Al 0.5000 0.5000 0.0000  2 Cd 2.64
Cd 0.5000 0.5000 0.5000  6 Al 2.64

Q: Which value of total moment does entry 2 give?
A: 0.0 Bohr magnetons per cell

Q: Which formula does entry 1 have?
A: Tb3Ho8Er3

Please write out number 2 again, unchanged.
CsSi2AgBi | GGA-PBE | optimized geometry

Properties
DFT total energy: -2.88 eV/atom
Space-group type: No. 123
Formation energy from raw total energies: 0.8098 eV per atom
Total moment: 0.0 Bohr magnetons per cell

a b c (Å): 5.6728 5.6728 5.5893
angles (deg): 90.00 90.00 90.00
Closest atoms and distances in Å follow each position.
Element x y z (fractional)
Cs 0.0000 0.0000 0.0000  8 Si 3.98, 4 Ag 4.01
Si 0.0000 0.5000 0.5000  2 Bi 2.84
Si 0.5000 0.0000 0.5000  2 Bi 2.84
Ag 0.5000 0.5000 0.0000  2 Bi 2.79
Bi 0.5000 0.5000 0.5000  2 Ag 2.79, 4 Si 2.84